This record from Alexandria via LeMat-Bulk describes crystalline La2MgCdTc at its relaxed geometry. The functional is GGA-PBE.

Summary:
magnetization: 0.000 μB per atom
energy of formation: -0.015 eV/atom
energy: -4.561 eV per atom

a b c (Å): 5.348 5.348 5.313
angles (deg): 90.00 90.00 90.00
Element x y z (fractional)
Mg (0.000, 0.000, 0.500)
Cd (0.500, 0.500, 0.500)
Tc (0.000, 0.000, 0.000)
La (0.000, 0.500, 0.000)
La (0.500, 0.000, 0.000)


This record from Alexandria via LeMat-Bulk describes crystalline YZrIn3 at its relaxed geometry. The functional is GGA-PBE.

Summary:
magnetization: 0.000 μB per atom
energy of formation: -0.061 eV/atom
energy: -4.707 eV per atom
distance to the lowest polymorph of the same formula: 0.00 eV per formula unit

a b c (Å): 4.341 4.341 7.754
angles (deg): 106.26 106.26 90.00
Element x y z (fractional)
Y (0.990, 0.990, 0.980)
Zr (0.627, 0.627, 0.255)
In (0.273, 0.773, 0.545)
In (0.773, 0.273, 0.545)
In (0.428, 0.428, 0.855)


- energy of formation of number 1 (La2MgCdTc)?
  -0.015 eV/atom


- Number 1 is which compound?
  La2MgCdTc


- What is the formula in the first record?
  La2MgCdTc